Compound: CeGdLu2
Source: Alexandria
Functional: PBE
Structure: optimized geometry

a = 4.9876 Å, b = 4.9876 Å, c = 4.8627 Å
α = 90.00°, β = 90.00°, γ = 90.00°
Last column: nearest neighbours and their distance in Å.
Space group P4/mmm (No. 123)
Unique sites:
Ce: 0.0000 0.0000 0.0000 x1  8 Lu 3.48, 4 Gd 3.53
Gd: 0.5000 0.5000 0.0000 x1  8 Lu 3.48, 4 Ce 3.53
Lu: 0.0000 0.5000 0.5000 x2  4 Gd 3.48, 4 Ce 3.48, 4 Lu 3.53

Results
energy of formation = 0.065 eV/atom
offset from the most stable computed form = 0.003 eV/atom